1.
This record from OQMD describes a relaxed structure of NaAgH2S2O4. The functional is GGA-PBE.

Geometry as CIF:
```
data_NaAgH2S2O4
_chemical_formula_sum 'Na4 Ag4 H8 S8 O16'
_cell_length_a 7.714
_cell_length_b 8.989
_cell_length_c 7.677
_cell_angle_alpha 90.00
_cell_angle_beta 96.69
_cell_angle_gamma 90.00
_symmetry_space_group_name_H-M 'P 1 c 1'
_symmetry_Int_Tables_number 7
loop_
_symmetry_equiv_pos_as_xyz
'x,y,z'
'x,-y,z+1/2'
loop_
_atom_site_label
_atom_site_fract_x
_atom_site_fract_y
_atom_site_fract_z
Na1 0.000 0.015 0.000
Na2 0.493 0.058 0.512
Ag1 0.025 0.436 0.040
Ag2 0.531 0.455 0.841
H1 0.157 0.207 0.303
H2 0.291 0.200 0.167
H3 0.680 0.179 0.823
H4 0.784 0.224 0.672
S1 0.200 0.204 0.731
S2 0.210 0.428 0.793
S3 0.704 0.205 0.199
S4 0.722 0.426 0.128
O1 0.020 0.153 0.748
O2 0.165 0.194 0.178
O3 0.237 0.187 0.546
O4 0.330 0.127 0.853
O5 0.526 0.178 0.245
O6 0.664 0.213 0.700
O7 0.733 0.114 0.042
O8 0.838 0.178 0.347
```



2.
# Na2AgH6Os, optimized geometry, DFT GGA-PBE
data_Na2AgH6Os
_chemical_formula_sum 'Na8 Ag4 H24 Os4'
_cell_length_a 7.366
_cell_length_b 7.366
_cell_length_c 7.366
_cell_angle_alpha 90.00
_cell_angle_beta 90.00
_cell_angle_gamma 90.00
_symmetry_space_group_name_H-M 'F m -3 m'
_symmetry_Int_Tables_number 225
_symmetry_space_group_name_Hall '-F 4 2 3'
loop_
_atom_site_label
_atom_site_fract_x
_atom_site_fract_y
_atom_site_fract_z
Na1 0.250 0.250 0.250
Ag1 0.000 0.000 0.000
H1 0.000 0.000 0.264
Os1 0.000 0.000 0.500
# **Spin magnetization**: 3.83 Bohr magnetons per cell



3.
# Na2TcAgH6, optimized geometry, DFT GGA-PBE
data_Na2TcAgH6
_chemical_formula_sum 'Na8 Tc4 Ag4 H24'
_cell_length_a 7.490
_cell_length_b 7.490
_cell_length_c 7.490
_cell_angle_alpha 90.00
_cell_angle_beta 90.00
_cell_angle_gamma 90.00
_symmetry_space_group_name_H-M 'F m -3 m'
_symmetry_Int_Tables_number 225
_symmetry_space_group_name_Hall '-F 4 2 3'
loop_
_atom_site_label
_atom_site_fract_x
_atom_site_fract_y
_atom_site_fract_z
Na1 0.250 0.250 0.250
Tc1 0.000 0.000 0.000
Ag1 0.000 0.000 0.500
H1 0.000 0.000 0.239
# **Spin magnetization**: 8.00 Bohr magnetons per cell



4.
This record from OQMD describes a relaxed structure of AgH3O2. The functional is GGA-PBE.

Geometry as CIF:
```
data_AgH3O2
_chemical_formula_sum 'Ag4 H12 O8'
_cell_length_a 3.711
_cell_length_b 10.485
_cell_length_c 5.363
_cell_angle_alpha 90.00
_cell_angle_beta 90.00
_cell_angle_gamma 90.00
_symmetry_space_group_name_H-M 'C m c 21'
_symmetry_Int_Tables_number 36
loop_
_symmetry_equiv_pos_as_xyz
'x,y,z'
'-x,-y,z+1/2'
'-x,y,z'
'x,-y,z+1/2'
'x+1/2,y+1/2,z'
'-x+1/2,-y+1/2,z+1/2'
'-x+1/2,y+1/2,z'
'x+1/2,-y+1/2,z+1/2'
loop_
_atom_site_label
_atom_site_fract_x
_atom_site_fract_y
_atom_site_fract_z
Ag1 0.000 0.146 0.000
H1 0.000 0.495 0.217
H2 0.212 0.114 0.494
O1 0.000 0.176 0.470
O2 0.000 0.492 0.032
```



no.,E (eV per formula unit)
1,-49.78
2,-36.67
3,-35.18
4,-26.88